A plane-wave DFT calculation with PBE+U was carried out for an optimized crystal structure of K2CdNiO4.

Cell and atoms, written as POSCAR:
```
K2CdNiO4
1.0
5.691 0.000 0.000
2.846 6.084 0.000
2.846 0.000 9.948
O K Ni Cd
8 4 2 2
direct
0.837 0.804 0.928 O
0.182 0.304 0.428 O
0.235 0.196 0.928 O
0.515 0.304 0.572 O
0.391 0.696 0.428 O
0.913 0.696 0.572 O
0.359 0.804 0.072 O
0.568 0.196 0.072 O
0.938 0.500 0.124 K
0.812 0.000 0.376 K
0.188 0.000 0.624 K
0.562 0.500 0.876 K
0.250 0.500 0.500 Ni
0.500 0.000 0.000 Ni
0.000 0.000 0.000 Cd
0.750 0.500 0.500 Cd
```

Calculated values
final energy: -63.55 eV for the cell shown
symmetry: Fddd, No. 70
total magnetization: 4.1 μB/cell